Entry w
This record from Alexandria describes crystalline CuRePt at its relaxed geometry. The functional is PBE.

Properties
Crystal system: tetragonal
Space-group type: I4mm (107)

a b c (Å): 5.9754 5.9755 2.7560
angles (deg): 76.67 76.67 26.67
Last column: nearest neighbours and their distance in Å.
Element x y z (fractional)
Cu1 0.0021 0.0021 0.9979  4 Re 2.69, 4 Pt 2.74, 4 Cu 2.76
Pt1 0.3321 0.3321 0.6679  4 Re 2.71, 4 Cu 2.74, 4 Pt 2.76
Re1 0.6658 0.6658 0.3342  4 Cu 2.69, 4 Pt 2.71, 4 Re 2.76

Entry x
This record from Alexandria describes crystalline CuRePt at its relaxed geometry. The functional is PBE.

Properties
Crystal system: trigonal
Space-group type: P3m1 (156)

a b c (Å): 2.7442 2.7442 6.6154
angles (deg): 90.00 90.00 120.00
Last column: nearest neighbours and their distance in Å.
Element x y z (fractional)
Re1 0.3333 0.6667 0.7228  3 Cu 2.68, 6 Re 2.74, 3 Pt 2.75
Cu1 0.0000 0.0000 0.3968  3 Re 2.68, 3 Pt 2.72, 6 Cu 2.74
Pt1 0.6667 0.3333 0.0622  3 Cu 2.72, 6 Pt 2.74, 3 Re 2.75

Entry y
This record from Alexandria describes crystalline CuRePt at its relaxed geometry. The functional is PBE.

Properties
Crystal system: monoclinic
Space-group type: P2_1/m (11)

a b c (Å): 4.3257 2.7482 7.4018
angles (deg): 90.00 94.49 90.00
Last column: nearest neighbours and their distance in Å.
Element x y z (fractional)
Re1 0.7566 0.2500 0.0582  4 Cu 2.64-2.79, 2 Pt 2.68, 6 Re 2.69-2.75
Re2 0.2434 0.7500 0.9418  4 Cu 2.64-2.79, 2 Pt 2.68, 6 Re 2.69-2.75
Cu1 0.2935 0.2500 0.2712  4 Re 2.64-2.79, 5 Pt 2.66-2.72, 2 Cu 2.75
Cu2 0.7065 0.7500 0.7288  4 Re 2.64-2.79, 5 Pt 2.66-2.72, 2 Cu 2.75
Pt1 0.1930 0.2500 0.6298  5 Cu 2.66-2.72, 2 Re 2.68, 4 Pt 2.75-2.80
Pt2 0.8070 0.7500 0.3702  5 Cu 2.66-2.72, 2 Re 2.68, 4 Pt 2.75-2.80

Going by the energies, entry y is most stable and the next is 72 meV per atom up.

Entry w
This record from Alexandria describes crystalline CuRePt at its relaxed geometry. The functional is PBE.

Properties
Crystal system: monoclinic
Space-group type: Cm (8)

a b c (Å): 5.4451 3.7875 8.9332
angles (deg): 90.00 108.84 90.00
Last column: nearest neighbours and their distance in Å.
Element x y z (fractional)
Re1 0.7332 0.0000 0.7526  2 Re 2.49, 4 Pt 2.64-2.76
Re2 0.7332 0.5000 0.2526  2 Re 2.49, 4 Pt 2.64-2.76
Re3 0.0139 0.0000 0.3871  2 Re 2.49, 3 Pt 2.69-2.77, 2 Cu 2.70-2.76
Re4 0.0139 0.5000 0.8871  2 Re 2.49, 3 Pt 2.69-2.77, 2 Cu 2.70-2.76
Cu1 0.3779 0.0000 0.0605  2 Cu 2.61, 5 Pt 2.66-2.81, 4 Re 2.82-2.85
Cu2 0.3779 0.5000 0.5605  2 Cu 2.61, 5 Pt 2.66-2.81, 4 Re 2.82-2.85
Cu3 0.5329 0.0000 0.4110  2 Cu 2.61, 4 Pt 2.67-2.70, 5 Re 2.70-2.89
Cu4 0.5329 0.5000 0.9110  2 Cu 2.61, 4 Pt 2.67-2.70, 5 Re 2.70-2.89
Pt1 0.8715 0.0000 0.0694  4 Cu 2.66-2.78, 6 Re 2.68-2.77, 2 Pt 2.78
Pt2 0.8715 0.5000 0.5694  4 Cu 2.66-2.78, 6 Re 2.68-2.77, 2 Pt 2.78
Pt3 0.2365 0.0000 0.7292  5 Re 2.64-2.90, 5 Cu 2.67-2.81, 2 Pt 2.78
Pt4 0.2365 0.5000 0.2292  5 Re 2.64-2.90, 5 Cu 2.67-2.81, 2 Pt 2.78

Entry x
This record from Alexandria describes crystalline CuRePt at its relaxed geometry. The functional is PBE.

Properties
Crystal system: trigonal
Space-group type: R3m (160)

a b c (Å): 2.7556 2.7556 19.7516
angles (deg): 90.00 90.00 120.00
Last column: nearest neighbours and their distance in Å.
Element x y z (fractional)
Re1 0.0000 0.0000 0.4254  3 Cu 2.67, 3 Pt 2.73, 6 Re 2.76
Re2 0.3333 0.6667 0.0920  3 Cu 2.67, 3 Pt 2.73, 6 Re 2.76
Re3 0.6667 0.3333 0.7587  3 Cu 2.67, 3 Pt 2.73, 6 Re 2.76
Cu1 0.0000 0.0000 0.8675  3 Re 2.67, 3 Pt 2.73, 6 Cu 2.76
Cu2 0.3333 0.6667 0.5342  3 Re 2.67, 3 Pt 2.73, 6 Cu 2.76
Cu3 0.6667 0.3333 0.2008  3 Re 2.67, 3 Pt 2.73, 6 Cu 2.76
Pt1 0.0000 0.0000 0.6465  3 Re 2.73, 3 Cu 2.73, 6 Pt 2.76
Pt2 0.3333 0.6667 0.3132  3 Re 2.73, 3 Cu 2.73, 6 Pt 2.76
Pt3 0.6667 0.3333 0.9798  3 Re 2.73, 3 Cu 2.73, 6 Pt 2.76

Going by the energies, entry w is most stable and the next is 58 meV per atom up.

Entry w
This record from Alexandria describes crystalline CuRePt at its relaxed geometry. The functional is PBE.

Properties
Crystal system: orthorhombic
Space-group type: Pmm2 (25)

a b c (Å): 4.2089 2.7283 7.5225
angles (deg): 90.00 90.00 90.00
Last column: nearest neighbours and their distance in Å.
Element x y z (fractional)
Re1 0.0000 0.0000 0.9170  2 Cu 2.59, 3 Pt 2.63-2.68, 6 Re 2.71-2.73
Re2 0.5000 0.5000 0.7800  3 Cu 2.63-2.88, 6 Re 2.71-2.73
Cu1 0.5000 0.5000 0.4306  6 Pt 2.62-2.71, 1 Re 2.63, 4 Cu 2.73
Cu2 0.5000 0.0000 0.1167  4 Re 2.59-2.88, 4 Pt 2.63, 4 Cu 2.73
Pt1 0.0000 0.0000 0.5668  1 Re 2.63, 4 Cu 2.71, 4 Pt 2.73-2.92
Pt2 0.0000 0.5000 0.2236  6 Cu 2.62-2.63, 2 Re 2.68, 4 Pt 2.73-2.92

Entry x
This record from Alexandria describes crystalline CuRePt at its relaxed geometry. The functional is PBE.

Properties
Crystal system: monoclinic
Space-group type: Cm (8)

a b c (Å): 4.6713 2.7555 13.5282
angles (deg): 90.00 97.29 90.00
Last column: nearest neighbours and their distance in Å.
Element x y z (fractional)
Re1 0.4274 0.0000 0.8638  6 Re 2.64-2.79, 2 Pt 2.70-2.71, 4 Cu 2.73-2.75
Re2 0.4274 0.5000 0.3638  6 Re 2.64-2.79, 2 Pt 2.70-2.71, 4 Cu 2.73-2.75
Re3 0.9080 0.0000 0.3623  6 Re 2.64-2.79, 2 Cu 2.69-2.73, 4 Pt 2.72-2.73
Re4 0.9080 0.5000 0.8623  6 Re 2.64-2.79, 2 Cu 2.69-2.73, 4 Pt 2.72-2.73
Cu1 0.5279 0.0000 0.1954  3 Re 2.69-2.75, 5 Pt 2.71-2.72, 4 Cu 2.73-2.76
Cu2 0.5279 0.5000 0.6954  3 Re 2.69-2.75, 5 Pt 2.71-2.72, 4 Cu 2.73-2.76
Cu3 0.6442 0.0000 0.5309  5 Pt 2.71-2.73, 3 Re 2.73, 4 Cu 2.73-2.76
Cu4 0.6442 0.5000 0.0309  5 Pt 2.71-2.73, 3 Re 2.73, 4 Cu 2.73-2.76
Pt1 0.0310 0.0000 0.6998  3 Re 2.70-2.72, 5 Cu 2.71-2.73, 4 Pt 2.76-2.82
Pt2 0.0310 0.5000 0.1998  3 Re 2.70-2.72, 5 Cu 2.71-2.73, 4 Pt 2.76-2.82
Pt3 0.1441 0.0000 0.0270  5 Cu 2.71-2.72, 3 Re 2.71-2.73, 4 Pt 2.76-2.82
Pt4 0.1441 0.5000 0.5270  5 Cu 2.71-2.72, 3 Re 2.71-2.73, 4 Pt 2.76-2.82

Entry y
This record from Alexandria describes crystalline CuRePt at its relaxed geometry. The functional is PBE.

Properties
Crystal system: orthorhombic
Space-group type: Imm2 (44)

a b c (Å): 4.6712 4.6712 4.6712
angles (deg): 146.43 130.22 61.38
Last column: nearest neighbours and their distance in Å.
Element x y z (fractional)
Cu1 0.9974 0.9974 0.0000  5 Pt 2.65-2.75, 2 Cu 2.70, 5 Re 2.71-2.72
Pt1 0.6674 0.6674 0.0000  5 Cu 2.65-2.75, 5 Re 2.67-2.74, 2 Pt 2.70
Re1 0.3352 0.3352 0.0000  5 Pt 2.67-2.74, 2 Re 2.70, 5 Cu 2.71-2.72

Going by the energies, entry w is most stable and the next is 27 meV per atom up.

Entry w
This record from Alexandria describes crystalline Cu2Pt8Rh3 at its relaxed geometry. The functional is PBE.

Properties
Crystal system: triclinic
Space-group type: P-1 (2)

a b c (Å): 4.7842 7.2943 6.7570
angles (deg): 71.93 62.09 70.88
Last column: nearest neighbours and their distance in Å.
Element x y z (fractional)
Cu1 0.6144 0.5753 0.2711  8 Pt 2.70-2.78, 1 Cu 2.74, 3 Rh 2.75-2.76
Cu2 0.3856 0.4247 0.7289  8 Pt 2.70-2.78, 1 Cu 2.74, 3 Rh 2.75-2.76
Pt1 0.1502 0.2730 0.1916  7 Pt 2.73-2.78, 2 Cu 2.73-2.76, 3 Rh 2.75-2.81
Pt2 0.8498 0.7270 0.8084  7 Pt 2.73-2.78, 2 Cu 2.73-2.76, 3 Rh 2.75-2.81
Pt3 0.7717 0.3469 0.9574  6 Pt 2.73-2.79, 3 Rh 2.73-2.78, 3 Cu 2.75-2.78
Pt4 0.2283 0.6531 0.0426  6 Pt 2.73-2.79, 3 Rh 2.73-2.78, 3 Cu 2.75-2.78
Pt5 0.9151 0.1173 0.6570  7 Pt 2.73-2.85, 4 Rh 2.73-2.77, 1 Cu 2.74
Pt6 0.5290 0.2004 0.4266  2 Cu 2.70-2.71, 3 Rh 2.70-2.84, 7 Pt 2.75-2.85
Pt7 0.4710 0.7996 0.5734  2 Cu 2.70-2.71, 3 Rh 2.70-2.84, 7 Pt 2.75-2.85
Pt8 0.0849 0.8827 0.3430  7 Pt 2.73-2.85, 4 Rh 2.73-2.77, 1 Cu 2.74
Rh1 0.0000 0.5000 0.5000  8 Pt 2.70-2.75, 4 Cu 2.75-2.76
Rh2 0.3032 0.0410 0.8880  9 Pt 2.73-2.84, 2 Rh 2.74-2.75, 1 Cu 2.76
Rh3 0.6968 0.9590 0.1120  9 Pt 2.73-2.84, 2 Rh 2.74-2.75, 1 Cu 2.76

Entry x
This record from Alexandria describes crystalline Cu2Pt8Rh3 at its relaxed geometry. The functional is PBE.

Properties
Crystal system: monoclinic
Space-group type: C2/m (12)

a b c (Å): 4.0847 8.4517 7.3711
angles (deg): 124.98 80.47 90.00
Last column: nearest neighbours and their distance in Å.
Element x y z (fractional)
Cu1 0.3387 0.3033 0.6065  8 Pt 2.43-2.65
Cu2 0.6613 0.6967 0.3935  8 Pt 2.43-2.65
Pt1 0.2091 0.5721 0.1443  2 Cu 2.43-2.61, 4 Pt 2.65-2.68, 2 Rh 2.69
Pt2 0.7909 0.4279 0.8557  2 Cu 2.43-2.61, 4 Pt 2.65-2.68, 2 Rh 2.69
Pt3 0.9010 0.1717 0.3433  2 Cu 2.52-2.62, 2 Rh 2.78, 2 Pt 2.80
Pt4 0.0990 0.8283 0.6567  2 Cu 2.52-2.62, 2 Rh 2.78, 2 Pt 2.80
Pt5 0.5968 0.6174 0.6957  2 Cu 2.61-2.65, 3 Rh 2.65-2.74, 4 Pt 2.66-2.86
Pt6 0.5968 0.0783 0.6957  2 Cu 2.61-2.65, 3 Rh 2.65-2.74, 4 Pt 2.66-2.86
Pt7 0.4032 0.9217 0.3043  2 Cu 2.61-2.65, 3 Rh 2.65-2.74, 4 Pt 2.66-2.86
Pt8 0.4032 0.3826 0.3043  2 Cu 2.61-2.65, 3 Rh 2.65-2.74, 4 Pt 2.66-2.86
Rh1 0.5000 0.0000 0.0000  8 Pt 2.65-2.89, 4 Rh 2.79
Rh2 0.0000 0.2242 0.0000  8 Pt 2.69-2.78, 2 Rh 2.79
Rh3 0.0000 0.7758 0.0000  8 Pt 2.69-2.78, 2 Rh 2.79

Going by the energies, entry w is most stable and the next is 197 meV per atom up.

Entry w
This record from Alexandria describes crystalline CuPtRh2 at its relaxed geometry. The functional is PBE.

Properties
Crystal system: tetragonal
Space-group type: P4mm (99)

a b c (Å): 2.7437 2.7437 7.5065
angles (deg): 90.00 90.00 90.00
Last column: nearest neighbours and their distance in Å.
Element x y z (fractional)
Rh1 0.0000 0.0000 0.0088  8 Rh 2.66-2.74, 4 Pt 2.78
Rh2 0.5000 0.5000 0.2521  8 Rh 2.66-2.74, 4 Cu 2.67
Cu1 0.0000 0.0000 0.4959  4 Rh 2.67, 4 Pt 2.68, 4 Cu 2.74
Pt1 0.5000 0.5000 0.7432  4 Cu 2.68, 4 Pt 2.74, 4 Rh 2.78

Entry x
This record from Alexandria describes crystalline CuPtRh2 at its relaxed geometry. The functional is PBE.

Properties
Crystal system: tetragonal
Space-group type: P4/mmm (123)

a b c (Å): 2.7567 2.7567 7.4258
angles (deg): 90.00 90.00 90.00
Last column: nearest neighbours and their distance in Å.
Element x y z (fractional)
Cu1 0.5000 0.5000 0.2500  8 Rh 2.64, 4 Cu 2.76
Pt1 0.5000 0.5000 0.7500  8 Rh 2.74, 4 Pt 2.76
Rh1 0.0000 0.0000 0.0096  4 Cu 2.64, 4 Pt 2.74, 4 Rh 2.76
Rh2 0.0000 0.0000 0.4904  4 Cu 2.64, 4 Pt 2.74, 4 Rh 2.76

Going by the energies, entry w is most stable and the next is 53 meV per atom up.